Entry 1:
First-principles (PBE-GGA) data for crystalline RbCuAg2 at its relaxed geometry, as listed in Alexandria via LeMat-Bulk.

Calculated values
Formation energy from the elements ... 236.5 meV per atom
Space-group type ... No. 141

Cell: 9.607 9.607 9.607 Å, 147.12 147.12 47.19°
Element x y z (fractional)
Rb 0.375 0.625 0.750
Rb 0.625 0.375 0.250
Cu 0.125 0.875 0.250
Cu 0.875 0.125 0.750
Ag 0.000 0.000 0.000
Ag 0.000 0.000 0.500
Ag 0.000 0.500 0.000
Ag 0.500 0.000 0.500



Entry 2:
First-principles (PBE-GGA) data for crystalline Rb2CuAg2 at its relaxed geometry, as listed in Alexandria via LeMat-Bulk.

Calculated values
Formation energy from the elements ... 276.3 meV per atom
Space-group type ... No. 139

Cell: 10.802 10.802 10.802 Å, 158.66 158.66 30.36°
Element x y z (fractional)
Rb 0.104 0.104 0.000
Rb 0.896 0.896 0.000
Cu 0.500 0.500 0.000
Ag 0.250 0.750 0.500
Ag 0.750 0.250 0.500



Entry 3:
First-principles (PBE-GGA) data for crystalline Rb2CuAg2 at its relaxed geometry, as listed in Alexandria via LeMat-Bulk.

Calculated values
Formation energy from the elements ... 267.9 meV per atom
Space-group type ... No. 139

Cell: 6.251 6.251 6.251 Å, 113.44 113.44 101.79°
Element x y z (fractional)
Rb 0.250 0.750 0.500
Rb 0.750 0.250 0.500
Cu 0.000 0.000 0.000
Ag 0.327 0.327 0.000
Ag 0.673 0.673 0.000



Number 1: raw total energy -2.455 eV per atom. Number 2: raw total energy -2.070 eV per atom. Number 3: raw total energy -2.079 eV per atom.